# GaCu2O PBE optimized geometry
# Uncorrected energy: -4.19 eV per atom
data_GaCu2O
_space_group_name_H-M_alt 'I -4 2 d'
_space_group_IT_number 122
_space_group_name_Hall 'I -4 2bw'
_cell_length_a 5.479
_cell_length_b 5.479
_cell_length_c 7.950
_cell_angle_alpha 90.00
_cell_angle_beta 90.00
_cell_angle_gamma 90.00
loop_
_atom_site_label
_atom_site_fract_x
_atom_site_fract_y
_atom_site_fract_z
Ga1 0.000 0.000 0.000
Cu1 0.167 0.250 0.625
O1 0.000 0.000 0.500